(1)
Computed, not measured: crystalline MgScBePd at its relaxed geometry at the GGA-PBE level of DFT.

For the total energy, the calculation gives -0.1673 hartree per atom. The density of states at the Fermi level comes out at 2.689 states/eV/f.u. The energy of formation from the pure elements comes out at -341 meV/atom.

It has space group F-43m (No. 216), with a = 6.395 Å, b = 6.395 Å, c = 6.395 Å, α = 90.00°, β = 90.00° and γ = 90.00°. The distinct sites, in fractional coordinates, are Mg at (0.000, 0.000, 0.000), Sc at (0.000, 0.000, 0.500), Be at (0.250, 0.250, 0.750) and Pd at (0.250, 0.250, 0.250).


(2)
Computed, not measured: crystalline LiGaCu4 at its relaxed geometry at the GGA-PBE level of DFT.

The energy above the most stable polymorph in this dataset is 8 meV per atom. For the total energy, the calculation gives -0.1318 hartree per atom. The density of states at the Fermi level comes out at 2.298 states/eV/f.u. The energy of formation from the pure elements comes out at -33 meV/atom.

It has space group Cmcm (No. 63), with a = 3.781 Å, b = 16.795 Å, c = 5.058 Å, α = 90.00°, β = 90.00° and γ = 90.00°. The distinct sites, in fractional coordinates, are Li at (0.000, 0.085, 0.250), Ga at (0.000, 0.226, 0.750), Cu at (0.000, 0.071, 0.750), Cu at (0.000, 0.351, 0.007) and Cu at (0.000, 0.500, 0.000).


(3)
Computed, not measured: crystalline Y3Ni9SnGe2 at its relaxed geometry at the GGA-PBE level of DFT.

For the total energy, the calculation gives -0.2141 hartree per atom. The density of states at the Fermi level comes out at 8.917 states/eV/f.u. The energy of formation from the pure elements comes out at -181 meV/atom.

It has space group P-3m1 (No. 164), with a = 5.9426 Å, b = 5.9426 Å, c = 9.0531 Å, α = 90.00°, β = 90.00° and γ = 120.00°. The distinct sites, in fractional coordinates, are Y at (0.0000, 0.0000, 0.0000), Y at (0.3333, 0.6667, 0.7264), Ni at (0.0000, 0.5000, 0.0000), Ni at (0.1345, 0.2691, 0.2685), Sn at (0.0000, 0.0000, 0.5000) and Ge at (0.3333, 0.6667, 0.1751).


(4)
Computed, not measured: crystalline YTm3Cd at its relaxed geometry at the GGA-PBE level of DFT.

The energy above the most stable polymorph in this dataset is 87 meV per atom. For the total energy, the calculation gives -0.1537 hartree per atom. The density of states at the Fermi level comes out at 7.024 states/eV/f.u. The energy of formation from the pure elements comes out at -23 meV/atom.

It has space group C2/c (No. 15), with a = 14.503 Å, b = 12.832 Å, c = 6.431 Å, α = 90.00°, β = 104.37° and γ = 90.00°. The distinct sites, in fractional coordinates, are Y at (0.095, 0.195, 0.483), Tm at (0.104, 0.067, 0.957), Tm at (0.188, 0.311, 0.135), Tm at (0.202, 0.429, 0.638), Cd at (0.000, 0.351, 0.750) and Cd at (0.000, 0.419, 0.250).


(5)
Computed, not measured: crystalline Tb15Er2Tm2 at its relaxed geometry at the GGA-PBE level of DFT.

For the total energy, the calculation gives -0.1586 hartree per atom. The density of states at the Fermi level comes out at 31.475 states/eV/f.u. The energy of formation from the pure elements comes out at 290 meV/atom.

It has space group R-3m (No. 166, hexagonal axes), with a = 11.0601 Å, b = 11.0601 Å, c = 17.6628 Å, α = 90.00°, β = 90.00° and γ = 120.00°. The distinct sites, in fractional coordinates, are Tb at (0.0000, 0.2976, 0.0000), Tb at (0.0000, 0.5000, 0.5000), Tb at (0.0166, 0.5083, 0.1339), Er at (0.0000, 0.0000, 0.3189) and Tm at (0.0000, 0.0000, 0.0947).


(6)
Computed, not measured: crystalline CeTiTcP2 at its relaxed geometry at the GGA-PBE level of DFT.

For the total energy, the calculation gives -0.2952 hartree per atom. The density of states at the Fermi level comes out at 6.887 states/eV/f.u. The energy of formation from the pure elements comes out at -1030 meV/atom.

It has space group I-4m2 (No. 119), with a = 3.876 Å, b = 3.876 Å, c = 11.672 Å, α = 90.00°, β = 90.00° and γ = 90.00°. The distinct sites, in fractional coordinates, are Ce at (0.000, 0.000, 0.000), Ti at (0.000, 0.500, 0.750), Tc at (0.000, 0.500, 0.250) and P at (0.000, 0.000, 0.379).


(7)
Computed, not measured: crystalline ErGaSi2Ni5 at its relaxed geometry at the GGA-PBE level of DFT.

For the total energy, the calculation gives -0.2036 hartree per atom. The density of states at the Fermi level comes out at 3.764 states/eV/f.u. The formation energy from raw total energies is -0.279 eV/atom.

It has space group P4/mmm (No. 123), with a = 4.248 Å, b = 4.248 Å, c = 7.078 Å, α = 90.00°, β = 90.00° and γ = 90.00°. The distinct sites, in fractional coordinates, are Er at (0.000, 0.000, 0.000), Ga at (0.000, 0.000, 0.500), Si at (0.500, 0.500, 0.338), Ni at (0.000, 0.500, 0.240) and Ni at (0.500, 0.500, 0.000).


(8)
Computed, not measured: crystalline NbAlMo3 at its relaxed geometry at the GGA-PBE level of DFT.

The energy above the most stable polymorph in this dataset is 0 meV per atom. For the total energy, the calculation gives -0.2910 hartree per atom. The density of states at the Fermi level comes out at 6.755 states/eV/f.u. The energy of formation from the pure elements comes out at 1342 meV/atom.

It has space group Pm-3m (No. 221), with a = 4.520 Å, b = 4.520 Å, c = 4.520 Å, α = 90.00°, β = 90.00° and γ = 90.00°. The distinct sites, in fractional coordinates, are Nb at (0.000, 0.000, 0.000), Al at (0.500, 0.500, 0.500) and Mo at (0.000, 0.500, 0.500).